Entry 1:
# AlIrCl2

A relaxed structure of AlIrCl2 (PBE-GGA, Alexandria).

D(E_F) (states/eV per atom): 0.345
Crystal system: orthorhombic
Magnetic moment (μB per cell): 0.0
E_tot (eV/f.u.): -16.7
E_form (uncorrected) (meV/atom): -95
V (Å³/cell): 223
Energy above the most stable polymorph in this dataset (meV per atom): 452

a = 5.025 Å, b = 12.557 Å, c = 3.527 Å
α = 90.00°, β = 90.00°, γ = 90.00°
Space group Cmmm (No. 65)
Inequivalent atoms, fractional coordinates:
Al 0.000 0.000 0.000 [2 per cell]
Ir 0.000 0.500 0.000 [2 per cell]
Cl 0.000 0.372 0.500 [4 per cell]

---

Entry 2:
# AsP2

A relaxed structure of AsP2 (PBE-GGA, Alexandria).

D(E_F) (states/eV per atom): 0.275
Crystal system: orthorhombic
Magnetic moment (μB per cell): 0.0
E_tot (eV/f.u.): -14.8
V (Å³/cell): 228
Energy relative to the elements (meV per atom): 236
Energy above the most stable polymorph in this dataset (meV per atom): 126

a = 3.186 Å, b = 14.440 Å, c = 4.957 Å
α = 90.00°, β = 90.00°, γ = 90.00°
Space group Cmcm (No. 63)
Inequivalent atoms, fractional coordinates:
As 0.000 0.154 0.250 [4 per cell]
P 0.000 0.113 0.750 [4 per cell]
P 0.000 0.495 0.250 [4 per cell]